SrP2RuW | PBE-GGA | optimized geometry

a b c (Å): 6.5782 6.5782 6.5782
angles (deg): 144.23 144.23 51.49
Fractional positions:
Sr  0.0000  0.0000  0.0000
P  0.3592  0.3592  0.0000
P  0.6408  0.6408  0.0000
Ru  0.2500  0.7500  0.5000
W  0.7500  0.2500  0.5000

Energy of formation from the pure elements   -58.02 kJ/mol of atoms
V   19.35 A^3/atom
Crystal system   tetragonal